[1]
Computed, not measured: an optimized crystal structure of Ac2AlZn3In4 at the PBE level of DFT.

* SG: No. 115
* mass density: 7.62 g cm⁻³
* formation energy: -0.35 eV/atom

The structure in extended XYZ format:
```
10
Lattice="-0.9507 1.5136 -4.3278 1.5332 -4.0604 -1.7569 -10.4224 -4.2786 0.7931" Properties=species:S:1:pos:R:3 pbc="T T T"
Ac -3.1265 -0.3315 -1.9621
Ac -7.0047 -5.2205 -0.2871
Al -4.9199 -3.4127 -2.6458
Zn -5.2112 -2.1393 0.3966
Zn -9.4920 -2.9447 -1.4777
Zn -0.6391 -2.6073 -0.7715
In 0.2913 -1.2734 -3.0423
In 0.0000 0.0000 0.0000
In -7.0601 -1.9464 -1.6628
In -3.0710 -3.6057 -0.5864
```

[2]
Computed, not measured: an optimized crystal structure of AcAl5Ir3 at the PBE level of DFT.

* SG: No. 63
* mass density: 9.30 g cm⁻³
* formation energy: -0.78 eV/atom

The structure in extended XYZ format:
```
18
Lattice="4.0531 0.0000 0.0000 -2.0266 6.5416 0.0000 0.0000 0.0000 12.6365" Properties=species:S:1:pos:R:3 pbc="T T T"
Ac 2.0266 4.4196 9.4774
Ac 0.0000 2.1220 3.1591
Al 2.0266 3.9330 5.5379
Al 0.0000 2.6086 11.8561
Al 0.0000 0.0000 6.3183
Al 0.0000 0.0000 0.0000
Al 0.0000 5.7894 1.8557
Al 2.0266 0.7522 10.7808
Al 2.0266 0.7522 8.1740
Al 2.0266 3.9330 0.7804
Al 0.0000 2.6086 7.0987
Al 0.0000 5.7894 4.4626
Ir 0.0000 5.0884 12.0942
Ir 2.0266 5.0145 3.1591
Ir 0.0000 5.0884 6.8606
Ir 2.0266 1.4532 5.7760
Ir 0.0000 1.5271 9.4774
Ir 2.0266 1.4532 0.5423
```

[3]
Computed, not measured: an optimized crystal structure of Ac3AlIr at the PBE level of DFT.

* SG: No. 221
* mass density: 7.74 g cm⁻³
* formation energy: -0.21 eV/atom

The structure in extended XYZ format:
```
5
Lattice="-4.9780 0.8131 -2.8230 1.9887 -3.1555 -4.4157 -2.1623 -4.7741 2.4378" Properties=species:S:1:pos:R:3 pbc="T T T"
Ac 0.9944 -1.5778 -2.2078
Ac -1.0811 -2.3871 1.2189
Ac -2.4890 0.4065 -1.4115
Ir 0.0000 0.0000 0.0000
Al -2.5758 -3.5583 -2.4004
```